Model 1:
DFT (PBE) results for a relaxed structure of AcZn2Ir2.

Cell and atoms, written as extended XYZ:
```
5
Lattice="-2.460 -0.787 3.317 1.672 -3.843 0.328 4.023 2.047 3.470" Properties=species:S:1:pos:R:3 pbc="T T T"
Zn 2.848 -0.898 1.899
Zn 0.782 0.630 3.393
Ir 0.517 -1.852 2.608
Ir 2.719 -0.731 4.507
Ac 0.000 0.000 0.000
```

Properties
For the magnetization, the calculation gives 0.0000 μB per atom.

---

Model 2:
DFT (PBE) results for a relaxed structure of AcZn2Ir2.

Cell and atoms, written as extended XYZ:
```
10
Lattice="-0.152 -4.046 -1.147 4.052 0.167 -1.123 1.021 -1.083 11.409" Properties=species:S:1:pos:R:3 pbc="T T T"
Ac 2.208 -2.246 7.633
Ac 2.714 -2.717 1.506
Ir 4.520 -4.554 7.749
Ir 1.410 -3.535 4.563
Ir 0.402 -0.409 1.390
Ir 3.512 -1.428 4.575
Zn 1.089 -1.107 3.764
Zn -0.076 -2.023 -0.573
Zn 3.833 -3.855 5.375
Zn 2.026 0.083 -0.562
```

Properties
For the magnetization, the calculation gives 0.0000 μB per atom.

---

It is model 1 that is the most stable of them.

---

Model 1:
DFT (PBE) results for a relaxed structure of AcZnIr.

Cell and atoms, written as extended XYZ:
```
3
Lattice="-3.020 -0.941 2.829 1.610 -4.099 0.356 1.493 3.199 2.657" Properties=species:S:1:pos:R:3 pbc="T T T"
Ir 1.067 -1.823 1.596
Ac -0.481 0.139 3.776
Zn -0.503 -0.157 0.471
```

Properties
For the magnetization, the calculation gives 0.0000 μB per atom.

---

Model 2:
DFT (PBE) results for a relaxed structure of AcZnIr.

Cell and atoms, written as extended XYZ:
```
6
Lattice="3.913 0.000 0.000 -1.956 5.732 0.000 0.000 0.000 6.041" Properties=species:S:1:pos:R:3 pbc="T T T"
Zn 1.956 1.005 4.531
Zn 0.000 4.727 1.510
Ir 0.000 0.000 0.000
Ir 0.000 0.000 3.021
Ac 0.000 3.723 4.531
Ac 1.956 2.009 1.510
```

Properties
For the magnetization, the calculation gives 0.0000 μB per atom.

---

Model 3:
DFT (PBE) results for a relaxed structure of AcZnIr.

Cell and atoms, written as extended XYZ:
```
3
Lattice="4.118 0.000 0.000 0.000 4.118 0.000 -2.059 -2.059 4.458" Properties=species:S:1:pos:R:3 pbc="T T T"
Ir 0.000 0.000 2.224
Ac 2.059 2.059 1.188
Zn 2.059 2.059 4.166
```

Properties
For the magnetization, the calculation gives 0.0000 μB per atom.

---

Model 4:
DFT (PBE) results for a relaxed structure of AcZnIr.

Cell and atoms, written as extended XYZ:
```
6
Lattice="-0.473 0.950 4.310 3.935 -1.377 -1.551 2.173 7.907 -1.504" Properties=species:S:1:pos:R:3 pbc="T T T"
Zn 1.888 6.493 2.205
Zn 3.747 0.987 -0.949
Ac 2.818 3.740 0.628
Ac 1.731 -0.213 1.380
Ir 0.812 2.537 2.959
Ir 4.824 4.943 -1.703
```

Properties
For the magnetization, the calculation gives 0.0000 μB per atom.

---

It is model 4 that is the most stable of them.

---

Model 1:
DFT (PBE) results for a relaxed structure of KNaAc.

Cell and atoms, written as extended XYZ:
```
6
Lattice="4.113 0.000 0.000 0.000 4.113 0.000 0.000 0.000 17.564" Properties=species:S:1:pos:R:3 pbc="T T T"
K 2.056 0.000 6.923
K 0.000 2.056 10.642
Na 2.056 0.000 13.592
Na 0.000 2.056 3.972
Ac 2.056 0.000 1.327
Ac 0.000 2.056 16.237
```

Properties
For the magnetization, the calculation gives 0.0000 μB per atom.

---

Model 2:
DFT (PBE) results for a relaxed structure of KNaAc.

Cell and atoms, written as extended XYZ:
```
3
Lattice="-1.811 1.347 -3.274 0.676 -3.894 0.440 -9.371 -1.093 4.735" Properties=species:S:1:pos:R:3 pbc="T T T"
Na -6.546 -2.893 2.432
K -4.126 -0.767 -0.448
Ac -9.205 -1.073 4.651
```

Properties
For the magnetization, the calculation gives 0.0000 μB per atom.

---

It is model 1 that is the most stable of them.

---

Model 1:
DFT (PBE) results for a relaxed structure of KAcO2.

Cell and atoms, written as extended XYZ:
```
4
Lattice="-2.548 -2.096 1.961 1.163 -3.075 1.980 0.512 2.072 6.635" Properties=species:S:1:pos:R:3 pbc="T T T"
O 0.319 1.318 5.578
O -0.283 -1.026 2.291
K -0.420 -1.486 5.377
Ac -0.412 -1.381 9.254
```

Properties
For the magnetization, the calculation gives 0.0000 μB per atom.

---

Model 2:
DFT (PBE) results for a relaxed structure of KAcO2.

Cell and atoms, written as extended XYZ:
```
4
Lattice="3.264 0.000 0.000 0.000 3.264 0.000 0.000 0.000 6.760" Properties=species:S:1:pos:R:3 pbc="T T T"
Ac 1.632 1.632 0.000
O 0.000 0.000 5.388
O 0.000 0.000 1.373
K 1.632 1.632 3.380
```

Properties
For the magnetization, the calculation gives 0.0000 μB per atom.

---

Model 3:
DFT (PBE) results for a relaxed structure of KAcO2.

Cell and atoms, written as extended XYZ:
```
4
Lattice="3.868 0.000 0.000 -1.934 3.338 -0.269 0.000 -1.711 6.515" Properties=species:S:1:pos:R:3 pbc="T T T"
O 0.000 1.212 1.146
O 1.934 0.415 5.099
K 0.000 -0.855 3.257
Ac 1.934 0.000 0.000
```

Properties
For the magnetization, the calculation gives 0.0000 μB per atom.

---

It is model 3 that is the most stable of them.

---

Model 1:
DFT (PBE) results for a relaxed structure of KAcPb.

Cell and atoms, written as extended XYZ:
```
3
Lattice="5.802 0.000 0.000 -2.901 5.025 0.000 0.000 0.000 4.043" Properties=species:S:1:pos:R:3 pbc="T T T"
K 0.000 3.350 2.585
Ac 0.000 0.000 0.239
Pb 2.901 1.675 1.219
```

Properties
For the magnetization, the calculation gives 0.0000 μB per atom.

---

Model 2:
DFT (PBE) results for a relaxed structure of KAcPb.

Cell and atoms, written as extended XYZ:
```
3
Lattice="-3.241 -2.238 0.003 2.229 -3.230 -0.333 0.919 2.148 8.592" Properties=species:S:1:pos:R:3 pbc="T T T"
K 0.022 -0.031 0.445
Ac 0.248 -0.351 5.055
Pb -0.363 -2.937 2.761
```

Properties
For the magnetization, the calculation gives 0.0021 μB per atom.

---

Model 3:
DFT (PBE) results for a relaxed structure of KAcPb.

Cell and atoms, written as extended XYZ:
```
12
Lattice="5.647 0.000 0.000 0.000 9.981 0.000 0.000 0.000 9.259" Properties=species:S:1:pos:R:3 pbc="T T T"
Ac 1.412 0.827 1.432
Ac 4.235 5.818 3.198
Ac 4.235 9.154 7.828
Ac 1.412 4.163 6.061
Pb 4.235 8.960 1.970
Pb 4.235 6.011 6.600
Pb 1.412 1.021 7.289
Pb 1.412 3.970 2.659
K 4.235 1.716 4.476
K 1.412 8.265 4.783
K 1.412 6.707 0.153
K 4.235 3.274 9.106
```

Properties
For the magnetization, the calculation gives 0.0000 μB per atom.

---

It is model 3 that is the most stable of them.

---

Model 1:
DFT (PBE) results for a relaxed structure of KAc2Ru.

Cell and atoms, written as extended XYZ:
```
4
Lattice="4.349 0.000 0.000 -2.175 3.767 -0.014 0.000 0.027 10.707" Properties=species:S:1:pos:R:3 pbc="T T T"
K 0.000 0.000 0.000
Ac 0.000 2.519 3.802
Ac 2.175 1.275 6.891
Ru 0.000 0.014 5.354
```

Properties
For the magnetization, the calculation gives 0.0000 μB per atom.

---

Model 2:
DFT (PBE) results for a relaxed structure of KAc2Ru.

Cell and atoms, written as extended XYZ:
```
4
Lattice="-0.030 -3.093 2.109 2.240 -1.704 -2.468 9.009 3.731 5.599" Properties=species:S:1:pos:R:3 pbc="T T T"
Ac 7.597 3.146 4.721
Ac 1.412 0.585 0.878
Ru 1.105 -2.399 -0.180
K 5.610 -0.533 2.620
```

Properties
For the magnetization, the calculation gives 0.0000 μB per atom.

---

It is model 1 that is the most stable of them.